# CdPtAu2

A crystal of CdPtAu2 relaxed with PBEsol (SCAN, Alexandria).

Cell lengths 2.9188, 4.0071, 5.7484 Å; angles 90.00, 90.00, 90.00 degrees
Closest atoms and distances in Å follow each position.
Element x y z (fractional)
Au 0.0000 0.0000 0.9987  2 Cd 2.82-2.93, 6 Au 2.86-2.92, 4 Pt 2.87
Au 0.5000 0.5000 0.2456  6 Au 2.86-2.92, 2 Pt 2.86-2.89, 4 Cd 2.90
Pt 0.5000 0.5000 0.7478  4 Cd 2.84, 6 Au 2.86-2.89, 2 Pt 2.92
Cd 0.0000 0.0000 0.5079  6 Au 2.82-2.93, 4 Pt 2.84, 2 Cd 2.92

The energy of formation comes out at -0.6 eV/f.u. For the calculated volume, the calculation gives 67 Å³ per cell. As for the uncorrected energy: -59.889 eV/atom. The calculation puts the density of states at the Fermi level at 0.9 states/eV/f.u. The space group is Pmm2.